! GGA-PBE Er2Ni15Ge2, optimized geometry; values from VASP
! Space group: No. 166
! DFT formation energy: -4.567 eV per formula unit
&SYSTEM
  ibrav = 0, nat = 19, ntyp = 3
/
ATOMIC_SPECIES
Ni 58.69 Ni.upf
Ge 72.64 Ge.upf
Er 167.26 Er.upf
ATOMIC_POSITIONS crystal
Ni 0.303 0.000 0.697
Ni 0.000 0.500 0.000
Ni 0.344 0.344 0.844
Ge 0.895 0.895 0.895
Ni 0.697 0.303 0.000
Ni 0.656 0.656 0.156
Ni 0.303 0.697 0.000
Ni 0.500 0.000 0.000
Ni 0.000 0.000 0.500
Ni 0.344 0.844 0.344
Ni 0.656 0.156 0.656
Ni 0.156 0.656 0.656
Ge 0.105 0.105 0.105
Er 0.350 0.350 0.350
Er 0.650 0.650 0.650
Ni 0.000 0.697 0.303
Ni 0.000 0.303 0.697
Ni 0.844 0.344 0.344
Ni 0.697 0.000 0.303
CELL_PARAMETERS angstrom
-3.344 2.789 -4.554
-5.706 -1.822 1.956
-1.477 5.239 3.175